## Cs2AgCl5 (PBE)

Data for a geometry-optimized Cs2AgCl5 structure.

```
Cs2AgCl5
1.0
9.312 0.000 0.000
0.000 7.392 0.000
0.000 0.000 15.128
Cs Ag Cl
8 4 20
direct
0.023 0.250 0.207
0.152 0.750 0.427
0.348 0.250 0.927
0.477 0.750 0.707
0.523 0.250 0.293
0.652 0.750 0.073
0.848 0.250 0.573
0.977 0.750 0.793
0.163 0.750 0.065
0.337 0.250 0.565
0.663 0.750 0.435
0.837 0.250 0.935
0.000 0.000 0.000
0.000 0.500 0.000
0.011 0.750 0.193
0.176 0.002 0.629
0.176 0.498 0.629
0.201 0.250 0.427
0.299 0.750 0.927
0.324 0.502 0.129
0.324 0.998 0.129
0.489 0.250 0.693
0.500 0.000 0.500
0.500 0.500 0.500
0.511 0.750 0.307
0.676 0.002 0.871
0.676 0.498 0.871
0.701 0.250 0.073
0.799 0.750 0.573
0.824 0.502 0.371
0.824 0.998 0.371
0.989 0.250 0.807
```

Crystal system   orthorhombic
Volume   260.3 Å³/f.u.
Total energy   -91.6 eV for the cell shown
Magnetization   0.0 μB/f.u.
ΔE_f (raw)   -1.1382 eV/atom